Computed, not measured: an optimized crystal structure of Sc2ZnCl at the PBE level of DFT.

Cell: 5.8189 5.8189 12.2607 Å, 90.00 90.00 90.00°
With the nearest neighbours (Å) after each atom.
Space group I-42d (No. 122)
Asymmetric unit:
Sc: 0.2374 0.2500 0.1250  2 Cl 2.52, 2 Zn 2.61
Zn: 0.0000 0.0000 0.5000  4 Sc 2.61
Cl: 0.0000 0.0000 0.0000  4 Sc 2.52

Results
Fermi-level density of states: 19.7 states/eV per cell
ΔE to the lowest computed polymorph: 497 meV/atom
energy relative to the elements, uncorrected: -88 kJ/mol of formula units
mass density: 3.05 g cm⁻³

Computed, not measured: an optimized crystal structure of ScZnCl2 at the PBE level of DFT.

Cell: 3.1739 4.4984 13.5398 Å, 90.00 90.00 90.00°
With the nearest neighbours (Å) after each atom.
Space group Imm2 (No. 44)
Asymmetric unit:
Sc: 0.0000 0.0000 0.0000  6 Cl 2.57-2.78
Zn: 0.0000 0.5000 0.6884  2 Sc 3.00, 2 Cl 3.11, 2 Zn 3.17
Cl: 0.0000 0.0000 0.5301  4 Sc 2.78, 2 Zn 3.11
Cl: 0.0000 0.5000 0.3507  2 Sc 2.57

Results
Fermi-level density of states: 3.7 states/eV per cell
ΔE to the lowest computed polymorph: 175 meV/atom
energy relative to the elements, uncorrected: -389 kJ/mol of formula units
mass density: 3.11 g cm⁻³

Computed, not measured: an optimized crystal structure of ScZnCl2 at the PBE level of DFT.

Cell: 3.1895 3.1895 9.4872 Å, 90.00 90.00 90.00°
With the nearest neighbours (Å) after each atom.
Space group P4/mmm (No. 123)
Asymmetric unit:
Sc: 0.0000 0.0000 0.0000  8 Cl 2.72
Zn: 0.0000 0.0000 0.5000  4 Zn 3.19
Cl: 0.5000 0.5000 0.1611  4 Sc 2.72

Results
Fermi-level density of states: 1.5 states/eV per cell
ΔE to the lowest computed polymorph: 92 meV/atom
energy relative to the elements, uncorrected: -421 kJ/mol of formula units
mass density: 3.12 g cm⁻³

Computed, not measured: an optimized crystal structure of ScZn2Cl at the PBE level of DFT.

Cell: 3.3316 3.3316 25.0919 Å, 90.00 90.00 120.00°
With the nearest neighbours (Å) after each atom.
Space group R-3m (No. 166, hexagonal axes)
Asymmetric unit:
Sc: 0.0000 0.0000 0.0000  6 Zn 2.92
Zn: 0.0000 0.0000 0.2458  3 Cl 2.76, 3 Sc 2.92
Cl: 0.0000 0.0000 0.5000  6 Zn 2.76

Results
Fermi-level density of states: 9.5 states/eV per cell
ΔE to the lowest computed polymorph: 297 meV/atom
energy relative to the elements, uncorrected: -101 kJ/mol of formula units
mass density: 4.36 g cm⁻³

Question: Which value of mass density does entry 1 give?
Answer: 3.05 g cm⁻³

Please write out number 1 again, unchanged.
Computed, not measured: an optimized crystal structure of Sc2ZnCl at the PBE level of DFT.

Cell: 5.8189 5.8189 12.2607 Å, 90.00 90.00 90.00°
With the nearest neighbours (Å) after each atom.
Space group I-42d (No. 122)
Asymmetric unit:
Sc: 0.2374 0.2500 0.1250  2 Cl 2.52, 2 Zn 2.61
Zn: 0.0000 0.0000 0.5000  4 Sc 2.61
Cl: 0.0000 0.0000 0.0000  4 Sc 2.52

Results
Fermi-level density of states: 19.7 states/eV per cell
ΔE to the lowest computed polymorph: 497 meV/atom
energy relative to the elements, uncorrected: -88 kJ/mol of formula units
mass density: 3.05 g cm⁻³

Question: Look up the Fermi-level density of states of the second one.
Answer: 3.7 states/eV per cell

Question: What is the formula in the first record?
Answer: Sc2ZnCl